! TbGdO3 | the Alexandria database | PBEsol | optimized geometry; values from VASP
! * symmetry: Pnma, No. 62
! * D(E_F): 0.000 states/eV/atom
&SYSTEM
  ibrav = 0, nat = 20, ntyp = 3
/
ATOMIC_SPECIES
Tb 158.93 Tb.upf
Gd 157.25 Gd.upf
O 16.00 O.upf
CELL_PARAMETERS angstrom
5.6887 0.0000 0.0000
0.0000 5.9441 0.0000
0.0000 0.0000 8.4395
ATOMIC_POSITIONS angstrom
Tb 0.0000 2.9720 4.2197
Tb 0.0000 2.9720 0.0000
Tb 2.8443 0.0000 0.0000
Tb 2.8443 0.0000 4.2197
Gd 0.1221 5.6273 6.3296
Gd 5.5666 0.3168 2.1099
Gd 2.9664 3.2888 2.1099
Gd 2.7223 2.6553 6.3296
O 1.0628 1.1296 4.9100
O 3.9072 1.8425 0.6903
O 1.0628 1.1296 7.7492
O 1.7815 4.1016 7.7492
O 4.8254 3.4492 6.3296
O 4.6258 4.8145 3.5295
O 3.7076 0.4771 6.3296
O 0.8632 2.4949 2.1099
O 1.7815 4.1016 4.9100
O 4.6258 4.8145 0.6903
O 3.9072 1.8425 3.5295
O 1.9811 5.4669 2.1099



! GdTiO3 | the Alexandria database | PBEsol | optimized geometry; values from VASP
! * symmetry: Pnma, No. 62
! * D(E_F): 0.431 states/eV/atom
&SYSTEM
  ibrav = 0, nat = 20, ntyp = 3
/
ATOMIC_SPECIES
O 16.00 O.upf
Ti 47.87 Ti.upf
Gd 157.25 Gd.upf
CELL_PARAMETERS angstrom
5.3411 0.0000 0.0000
0.0000 5.6358 0.0000
0.0000 0.0000 7.6485
ATOMIC_POSITIONS angstrom
O 4.3002 4.5043 0.4003
O 2.1112 5.4568 1.9121
O 3.2299 0.1789 5.7363
O 4.3002 4.5043 3.4239
O 4.7817 2.9968 5.7363
O 3.7114 1.6865 3.4239
O 1.6297 3.9493 4.2245
O 0.5594 2.6390 1.9121
O 1.0409 1.1314 7.2481
O 3.7114 1.6865 0.4003
O 1.6297 3.9493 7.2481
O 1.0409 1.1314 4.2245
Ti 2.6705 0.0000 0.0000
Ti 0.0000 2.8179 0.0000
Ti 2.6705 0.0000 3.8242
Ti 0.0000 2.8179 3.8242
Gd 2.7689 3.2073 1.9121
Gd 5.2427 0.3894 1.9121
Gd 0.0983 5.2463 5.7363
Gd 2.5722 2.4284 5.7363



! GdVO3 | the Alexandria database | PBEsol | optimized geometry; values from VASP
! * symmetry: Pnma, No. 62
! * D(E_F): 0.641 states/eV/atom
&SYSTEM
  ibrav = 0, nat = 20, ntyp = 3
/
ATOMIC_SPECIES
V 50.94 V.upf
O 16.00 O.upf
Gd 157.25 Gd.upf
CELL_PARAMETERS angstrom
-3.7776 2.9099 -2.2404
-2.7252 0.2155 4.8750
3.7784 6.3162 1.8329
ATOMIC_POSITIONS angstrom
V -1.3626 0.1078 2.4375
V -1.8888 1.4550 -1.1202
V 0.0004 4.6131 -0.2037
V 0.5266 3.2659 3.3540
O -0.8867 1.9860 2.8310
O 0.6672 6.7348 5.1970
O -2.0698 6.6927 4.7445
O 1.6201 6.9426 2.5165
O -0.8351 4.2235 4.4682
O -0.6545 2.7490 -0.2770
O -3.3915 2.7070 -0.7295
O -2.8422 5.0104 2.6798
O 0.1178 4.4314 1.7878
O -1.8893 5.2182 -0.0007
O -1.8377 7.4557 1.6366
O -4.3444 2.4991 1.9510
Gd 2.5901 4.8023 1.6529
Gd -2.1956 3.1788 1.4187
Gd -0.5288 6.2629 3.0488
Gd -5.3144 4.6394 2.8147



! Gd3YV4O16 | the Alexandria database | PBEsol | optimized geometry; values from VASP
! * symmetry: C222, No. 21
! * D(E_F): 0.000 states/eV/atom
&SYSTEM
  ibrav = 0, nat = 24, ntyp = 4
/
ATOMIC_SPECIES
Y 88.91 Y.upf
V 50.94 V.upf
O 16.00 O.upf
Gd 157.25 Gd.upf
CELL_PARAMETERS angstrom
5.9646 -0.0174 0.0000
-2.6365 5.3503 0.0000
0.0000 0.0000 10.1392
ATOMIC_POSITIONS angstrom
Y 0.0000 0.0000 5.0696
V -1.3182 2.6752 2.5600
V 1.6641 2.6665 5.0696
V 0.0000 0.0000 0.0000
V 2.9823 -0.0087 7.5793
O 1.4620 4.0902 4.1437
O 0.2963 2.2224 5.9955
O 3.0318 3.1105 5.9955
O 3.5405 3.9142 9.2083
O -1.5425 4.0940 3.4913
O -0.2123 1.4187 9.2083
O 1.3677 0.4326 0.9309
O -1.0273 4.9196 6.6479
O 2.7713 1.4058 8.5173
O 3.2830 2.2258 1.6219
O 0.5569 3.9271 8.5173
O 1.9604 4.9003 0.9309
O 4.3554 0.4133 6.6479
O 4.8706 1.2389 3.4913
O 0.0452 3.1071 1.6219
O 1.8662 1.2427 4.1437
Gd 1.6641 2.6665 0.0000
Gd -1.3182 2.6752 7.5942
Gd 2.9823 -0.0087 2.5450



! Gd2W2O9 | the Alexandria database | PBEsol | optimized geometry; values from VASP
! * offset from the most stable computed form: 0 meV/atom
! * symmetry: P-1, No. 2
! * D(E_F): 0.000 states/eV/atom
&SYSTEM
  ibrav = 0, nat = 26, ntyp = 3
/
ATOMIC_SPECIES
O 16.00 O.upf
W 183.84 W.upf
Gd 157.25 Gd.upf
CELL_PARAMETERS angstrom
-4.9902 4.1130 1.8320
-5.3262 -4.2455 -1.7355
-1.9830 -3.8598 5.9011
ATOMIC_POSITIONS angstrom
O -8.3492 -4.6373 4.9407
O -3.2553 -4.2901 4.6701
O -5.6625 -0.5023 6.2684
O -6.6369 -3.4900 -0.2708
O -5.7536 -5.1679 4.7184
O -6.5458 1.1756 1.2792
O -9.0441 0.2978 1.3275
O -7.4523 -2.2016 4.7896
O -7.2571 -6.3659 3.2810
O -4.8471 -1.7908 1.2079
O -7.3349 0.8665 3.9926
O -7.3374 -1.5476 2.2596
O -4.9645 -4.8589 2.0050
O -5.0423 2.3735 2.7166
O -3.9502 0.6450 1.0568
O -2.9707 -0.8480 3.1345
O -4.9620 -2.4448 3.7380
O -9.3287 -3.1443 2.8631
W -3.1554 -2.6763 3.6783
W -9.1440 -1.3160 2.3193
W -5.3804 -2.2124 -0.4644
W -6.9190 -1.7799 6.4619
Gd -5.3442 -0.1548 2.8797
Gd -2.4562 -1.1167 0.7491
Gd -6.9552 -3.8375 3.1179
Gd -9.8432 -2.8756 5.2484



! Gd6WO12 | the Alexandria database | PBEsol | optimized geometry; values from VASP
! * symmetry: R-3, No. 148
! * D(E_F): 0.000 states/eV/atom
&SYSTEM
  ibrav = 0, nat = 19, ntyp = 3
/
ATOMIC_SPECIES
W 183.84 W.upf
O 16.00 O.upf
Gd 157.25 Gd.upf
CELL_PARAMETERS angstrom
6.4885 0.0036 0.0043
-0.9687 6.4158 0.0043
-0.9687 -1.1266 6.3161
ATOMIC_POSITIONS angstrom
W 0.0000 0.0000 0.0000
O 5.9247 1.8072 0.4623
O 5.3039 -0.5855 4.4643
O 2.4675 1.6988 5.2009
O -1.3737 3.4856 5.8624
O -0.7528 5.8783 1.8604
O 4.3959 3.1619 2.5890
O 2.0836 3.5939 1.1238
O 0.1552 2.1309 3.7357
O 0.8990 -0.6252 6.1141
O 3.2411 0.6482 2.7560
O 3.6521 5.9179 0.2106
O 1.3099 4.6446 3.5687
Gd 4.5152 1.7168 4.3557
Gd 3.5302 1.8375 0.9094
Gd 1.0209 3.4553 5.4153
Gd 3.2633 5.0613 2.4577
Gd 0.0359 3.5760 1.9690
Gd 1.2877 0.2315 3.8670



! Gd2W2O9 | the Alexandria database | PBEsol | optimized geometry; values from VASP
! * offset from the most stable computed form: 26 meV/atom
! * symmetry: C222_1, No. 20
! * D(E_F): 0.000 states/eV/atom
&SYSTEM
  ibrav = 0, nat = 52, ntyp = 3
/
ATOMIC_SPECIES
O 16.00 O.upf
Gd 157.25 Gd.upf
W 183.84 W.upf
CELL_PARAMETERS angstrom
-4.7622 -4.1518 -3.3201
4.8013 1.1726 -8.3531
3.9022 -7.8328 4.1978
ATOMIC_POSITIONS angstrom
O -2.0937 -3.1778 -5.2684
O 3.1100 -8.5323 -1.4669
O 3.8992 -4.5760 -4.6484
O 4.4204 0.2985 -6.7173
O 4.8536 -5.7673 0.2483
O 3.2097 -0.2062 -4.3504
O 5.5766 -8.0338 -2.5266
O 3.5306 -4.3452 -7.2972
O 1.4634 -5.0178 -3.4955
O 2.7118 -8.8696 3.3662
O 0.7430 -0.7048 -3.2898
O -2.3588 -5.8547 -1.5325
O 2.4224 -4.1609 -1.1656
O 1.9481 -7.6944 -3.7370
O 0.4783 -3.3819 0.4460
O 2.1033 -6.1416 -5.9024
O 1.0881 -6.7818 -0.7494
O 1.9923 -1.5246 -0.9512
O 3.6516 -9.7119 -3.8696
O 5.8468 -5.3525 -6.2589
O 2.5853 -2.1914 -8.6353
O 1.4676 -2.9698 -6.0645
O -0.6365 -3.4109 -2.4930
O 0.4733 -6.1049 -8.3852
O -0.5429 -6.7459 -3.2348
O 6.9589 -5.3252 -3.3224
O 1.8997 -9.0366 0.9004
O -1.0227 -10.6944 -0.4985
O 3.9215 -7.0303 -7.6017
O 4.3301 -7.2115 -4.8642
O -1.9676 -8.5402 -1.8363
O 1.2296 -1.9423 -10.8416
O 2.5782 -2.6076 -3.3306
O 4.8590 -3.7182 -2.3198
O -0.3879 -5.1919 -5.3994
O 3.7449 -6.1296 -2.4834
Gd 0.0643 -2.5589 -4.5695
Gd 1.7540 -7.7439 -8.1688
Gd 2.9154 -6.8301 0.5237
Gd 3.4069 -1.9073 -6.3372
Gd 6.2545 -6.1804 -1.2484
Gd 0.5344 -8.9046 -1.1383
Gd -0.1902 -5.1408 -0.9641
Gd 1.0259 -3.9819 -7.9991
W 0.7802 -6.4430 -4.5691
W 4.0752 -5.8234 -6.2302
W 2.4681 -0.6999 -2.6692
W 3.8516 -8.0385 -3.1480
W -2.5124 -7.0622 -2.9034
W 8.2926 -6.3457 -3.9591
W 3.1611 -4.3690 -2.9063
W -1.9702 -2.3903 -1.8562



! Gd2Zr2O7 | the Alexandria database | PBEsol | optimized geometry; values from VASP
! * symmetry: Pmna, No. 53
! * D(E_F): 0.000 states/eV/atom
&SYSTEM
  ibrav = 0, nat = 44, ntyp = 3
/
ATOMIC_SPECIES
Zr 91.22 Zr.upf
Gd 157.25 Gd.upf
O 16.00 O.upf
CELL_PARAMETERS angstrom
-1.9080 -4.9723 5.1824
6.1034 1.7654 3.9409
-5.3927 7.3448 5.0616
ATOMIC_POSITIONS angstrom
Zr -0.9540 -2.4861 2.5912
Zr -3.0087 4.6728 6.1125
Zr -0.5986 2.0689 7.0924
Zr -1.2403 -1.4176 6.1019
Zr 3.0517 0.8827 1.9705
Zr -2.6963 3.6724 2.5308
Zr 0.0430 5.5555 8.0829
Zr 1.8114 -0.5349 8.0724
Gd -0.3105 1.0054 3.5765
Gd -0.8868 3.1325 10.6084
Gd -3.6503 1.1862 5.1220
Gd 2.0977 -1.6034 4.5616
Gd 2.7412 1.8881 5.5469
Gd 0.3554 4.5551 4.5012
Gd -3.9385 2.2498 8.6379
Gd 0.0000 0.0000 0.0000
O -0.1372 -1.2509 4.3035
O -0.7126 -3.3184 6.6599
O -2.1484 4.6832 4.2517
O 1.5419 1.5013 7.5623
O -4.9725 4.8786 5.5156
O -2.7392 2.6366 6.6226
O 0.9511 -0.5453 9.9331
O 0.2993 3.5155 8.5845
O -2.3282 -2.5061 4.7283
O -1.0939 -0.4707 1.9050
O -2.5513 -1.5583 7.6717
O -3.2124 3.6602 10.4277
O -1.0194 4.5335 6.6400
O -0.1779 -0.3957 7.5449
O 2.9277 -0.3644 6.2825
O -6.2067 2.8432 8.3389
O -1.6584 1.6874 8.9046
O 0.4611 2.4505 5.2803
O -1.0601 5.3888 9.8814
O -2.5755 1.6911 3.2312
O -4.1250 4.5023 7.9024
O -1.4966 0.6224 5.6003
O -3.0857 6.7039 5.8455
O 1.3540 5.6962 6.5132
O 1.8884 -2.5661 8.3394
O 2.0152 0.4777 3.7572
O -0.4847 7.4563 7.5249
O -4.7252 0.6814 7.0127



Values of E, in order: -210.18; -219.35; -218.03; -245.33; -278.49; -226.24; -555.65; -485.58, all in eV per cell.
Values of energy relative to the elements, uncorrected, in order: -3.47; -3.26; -2.94; -3.03; -2.73; -3.30; -2.70; -3.42, all in eV per atom.